# CdBiSb2 (GGA-PBE, relaxed)
data_CdBiSb2
_chemical_formula_sum 'Cd1 Bi1 Sb2'
_space_group_name_H-M_alt 'P 4/m m m'
_space_group_IT_number 123
_space_group_name_Hall '-P 4 2'
_cell_length_a 4.815
_cell_length_b 4.815
_cell_length_c 4.866
_cell_angle_alpha 90.00
_cell_angle_beta 90.00
_cell_angle_gamma 90.00
loop_
_atom_site_label
_atom_site_type_symbol
_atom_site_fract_x
_atom_site_fract_y
_atom_site_fract_z
Cd1 Cd 0.000 0.000 0.000
Bi1 Bi 0.500 0.500 0.000
Sb1 Sb 0.000 0.500 0.500
# DOS(E_F) (states/eV/cell): 1.28
# M_tot (μB/f.u.): 0.0
# Raw formation energy (eV/atom): 0.184
# Relative energy among the computed polymorphs (meV/atom): 116



# In2HgCl8 (GGA-PBE, relaxed)
data_In2HgCl8
_chemical_formula_sum 'In8 Hg4 Cl32'
_space_group_name_H-M_alt 'C 1 2/c 1'
_space_group_IT_number 15
_cell_length_a 16.907
_cell_length_b 8.985
_cell_length_c 13.084
_cell_angle_alpha 90.00
_cell_angle_beta 129.90
_cell_angle_gamma 90.00
loop_
_space_group_symop_operation_xyz
'x,y,z'
'-x,-y,-z'
'-x,y,-z+1/2'
'x,-y,z+1/2'
'x+1/2,y+1/2,z'
'-x+1/2,-y+1/2,-z'
'-x+1/2,y+1/2,-z+1/2'
'x+1/2,-y+1/2,z+1/2'
loop_
_atom_site_label
_atom_site_type_symbol
_atom_site_fract_x
_atom_site_fract_y
_atom_site_fract_z
In1 In 0.014 0.209 0.005
Hg1 Hg 0.000 0.450 0.750
Cl1 Cl 0.097 0.290 0.226
Cl2 Cl 0.098 0.002 0.489
Cl3 Cl 0.124 0.410 0.989
Cl4 Cl 0.135 0.287 0.710
# DOS(E_F) (states/eV/cell): 0.00
# M_tot (μB/f.u.): 0.0
# Raw formation energy (eV/atom): -0.921
# Relative energy among the computed polymorphs (meV/atom): 0



# BeV3Tc (GGA-PBE, relaxed)
data_BeV3Tc
_chemical_formula_sum 'Be1 V3 Tc1'
_space_group_name_H-M_alt 'P m -3 m'
_space_group_IT_number 221
_space_group_name_Hall '-P 4 2 3'
_cell_length_a 4.077
_cell_length_b 4.077
_cell_length_c 4.077
_cell_angle_alpha 90.00
_cell_angle_beta 90.00
_cell_angle_gamma 90.00
loop_
_atom_site_label
_atom_site_type_symbol
_atom_site_fract_x
_atom_site_fract_y
_atom_site_fract_z
Be1 Be 0.000 0.000 0.000
V1 V 0.000 0.000 0.500
Tc1 Tc 0.500 0.500 0.500
# DOS(E_F) (states/eV/cell): 8.70
# M_tot (μB/f.u.): 0.7
# Energy of formation (eV per atom): 0.671
# Relative energy among the computed polymorphs (meV/atom): 0



# CaTeRuI2 (GGA-PBE, relaxed)
data_CaTeRuI2
_chemical_formula_sum 'Ca1 Te1 Ru1 I2'
_space_group_name_H-M_alt 'P 4/m m m'
_space_group_IT_number 123
_space_group_name_Hall '-P 4 2'
_cell_length_a 5.482
_cell_length_b 5.482
_cell_length_c 5.229
_cell_angle_alpha 90.00
_cell_angle_beta 90.00
_cell_angle_gamma 90.00
loop_
_atom_site_label
_atom_site_type_symbol
_atom_site_fract_x
_atom_site_fract_y
_atom_site_fract_z
Ca1 Ca 0.000 0.000 0.000
Te1 Te 0.500 0.500 0.000
Ru1 Ru 0.500 0.500 0.500
I1 I 0.000 0.500 0.500
# DOS(E_F) (states/eV/cell): 3.45
# M_tot (μB/f.u.): 0.0
# Raw formation energy (eV/atom): -0.211
# Relative energy among the computed polymorphs (meV/atom): 0



# CaMnIr (GGA-PBE, relaxed)
data_CaMnIr
_chemical_formula_sum 'Ca4 Mn4 Ir4'
_space_group_name_H-M_alt 'F -4 3 m'
_space_group_IT_number 216
_space_group_name_Hall 'F -4 2 3'
_cell_length_a 6.455
_cell_length_b 6.455
_cell_length_c 6.455
_cell_angle_alpha 90.00
_cell_angle_beta 90.00
_cell_angle_gamma 90.00
loop_
_atom_site_label
_atom_site_type_symbol
_atom_site_fract_x
_atom_site_fract_y
_atom_site_fract_z
Ca1 Ca 0.000 0.000 0.000
Mn1 Mn 0.250 0.250 0.750
Ir1 Ir 0.250 0.250 0.250
# DOS(E_F) (states/eV/cell): 7.10
# M_tot (μB/f.u.): 4.6
# Energy of formation (eV per atom): 0.985
# Relative energy among the computed polymorphs (meV/atom): 1190



# Ni2PdW (GGA-PBE, relaxed)
data_Ni2PdW
_chemical_formula_sum 'Ni16 Pd8 W8'
_space_group_name_H-M_alt 'C 1 2/c 1'
_space_group_IT_number 15
_cell_length_a 9.100
_cell_length_b 10.909
_cell_length_c 4.652
_cell_angle_alpha 90.00
_cell_angle_beta 110.12
_cell_angle_gamma 90.00
loop_
_space_group_symop_operation_xyz
'x,y,z'
'-x,-y,-z'
'-x,y,-z+1/2'
'x,-y,z+1/2'
'x+1/2,y+1/2,z'
'-x+1/2,-y+1/2,-z'
'-x+1/2,y+1/2,-z+1/2'
'x+1/2,-y+1/2,z+1/2'
loop_
_atom_site_label
_atom_site_type_symbol
_atom_site_fract_x
_atom_site_fract_y
_atom_site_fract_z
Ni1 Ni 0.243 0.065 0.248
Ni2 Ni 0.247 0.183 0.736
Pd1 Pd 0.000 0.309 0.750
Pd2 Pd 0.000 0.438 0.250
W1 W 0.000 0.059 0.750
W2 W 0.000 0.196 0.250
# DOS(E_F) (states/eV/cell): 41.75
# M_tot (μB/f.u.): 0.0
# Energy of formation (eV per atom): 0.087
# Relative energy among the computed polymorphs (meV/atom): 96



# PmCrN3 (GGA-PBE, relaxed)
data_PmCrN3
_chemical_formula_sum 'Pm8 Cr8 N24'
_space_group_name_H-M_alt 'C 1 2/c 1'
_space_group_IT_number 15
_cell_length_a 10.288
_cell_length_b 9.798
_cell_length_c 5.948
_cell_angle_alpha 90.00
_cell_angle_beta 107.38
_cell_angle_gamma 90.00
loop_
_space_group_symop_operation_xyz
'x,y,z'
'-x,-y,-z'
'-x,y,-z+1/2'
'x,-y,z+1/2'
'x+1/2,y+1/2,z'
'-x+1/2,-y+1/2,-z'
'-x+1/2,y+1/2,-z+1/2'
'x+1/2,-y+1/2,z+1/2'
loop_
_atom_site_label
_atom_site_type_symbol
_atom_site_fract_x
_atom_site_fract_y
_atom_site_fract_z
Pm1 Pm 0.000 0.094 0.250
Pm2 Pm 0.000 0.334 0.750
Cr1 Cr 0.212 0.412 0.254
N1 N 0.116 0.114 0.661
N2 N 0.134 0.268 0.153
N3 N 0.154 0.476 0.503
# M_tot (μB/f.u.): 0.0
# Raw formation energy (eV/atom): -0.798



# Zr4Co3 (GGA-PBE, relaxed)
data_Zr4Co3
_chemical_formula_sum 'Zr8 Co6'
_space_group_name_H-M_alt 'I 4/m m m'
_space_group_IT_number 139
_space_group_name_Hall '-I 4 2'
_cell_length_a 3.232
_cell_length_b 3.232
_cell_length_c 23.429
_cell_angle_alpha 90.00
_cell_angle_beta 90.00
_cell_angle_gamma 90.00
loop_
_atom_site_label
_atom_site_type_symbol
_atom_site_fract_x
_atom_site_fract_y
_atom_site_fract_z
Zr1 Zr 0.000 0.000 0.068
Zr2 Zr 0.000 0.000 0.342
Co1 Co 0.000 0.000 0.221
Co2 Co 0.000 0.000 0.500
# DOS(E_F) (states/eV/cell): 19.14
# M_tot (μB/f.u.): 3.2
# Energy of formation (eV per atom): -0.084
# Relative energy among the computed polymorphs (meV/atom): 122



# Nd2Ga9Ir6 (GGA-PBE, relaxed)
data_Nd2Ga9Ir6
_chemical_formula_sum 'Nd2 Ga9 Ir6'
_space_group_name_H-M_alt 'P 6/m m m'
_space_group_IT_number 191
_space_group_name_Hall '-P 6 2'
_cell_length_a 5.5308
_cell_length_b 5.5308
_cell_length_c 12.1726
_cell_angle_alpha 90.00
_cell_angle_beta 90.00
_cell_angle_gamma 120.00
loop_
_atom_site_label
_atom_site_type_symbol
_atom_site_fract_x
_atom_site_fract_y
_atom_site_fract_z
Nd1 Nd 0.0000 0.0000 0.1639
Ga1 Ga 0.0000 0.5000 0.0000
Ga2 Ga 0.0000 0.5000 0.3394
Ir1 Ir 0.3333 0.6667 0.1725
Ir2 Ir 0.3333 0.6667 0.5000
# DOS(E_F) (states/eV/cell): 7.90
# M_tot (μB/f.u.): 0.0
# Energy of formation (eV per atom): -0.398



# Pr2Nd2Y5 (GGA-PBE, relaxed)
data_Pr2Nd2Y5
_chemical_formula_sum 'Pr8 Nd8 Y20'
_space_group_name_H-M_alt 'I m a 2'
_space_group_IT_number 46
_cell_length_a 15.145
_cell_length_b 11.988
_cell_length_c 6.852
_cell_angle_alpha 90.00
_cell_angle_beta 90.00
_cell_angle_gamma 90.00
loop_
_space_group_symop_operation_xyz
'x,y,z'
'-x,-y,z'
'-x+1/2,y,z'
'x+1/2,-y,z'
'x+1/2,y+1/2,z+1/2'
'-x+1/2,-y+1/2,z+1/2'
'-x,y+1/2,z+1/2'
'x,-y+1/2,z+1/2'
loop_
_atom_site_label
_atom_site_type_symbol
_atom_site_fract_x
_atom_site_fract_y
_atom_site_fract_z
Pr1 Pr 0.000 0.000 0.000
Pr2 Pr 0.250 0.008 0.903
Nd1 Nd 0.127 0.502 0.951
Y1 Y 0.053 0.743 0.308
Y2 Y 0.142 0.233 0.117
Y3 Y 0.250 0.744 0.104
# DOS(E_F) (states/eV/cell): 60.63
# M_tot (μB/f.u.): 0.0
# Energy of formation (eV per atom): 0.204
# Relative energy among the computed polymorphs (meV/atom): 67



# LaDyY2Sc4 (GGA-PBE, relaxed)
data_LaDyY2Sc4
_chemical_formula_sum 'La1 Dy1 Y2 Sc4'
_space_group_name_H-M_alt 'P 4/m m m'
_space_group_IT_number 123
_space_group_name_Hall '-P 4 2'
_cell_length_a 4.993
_cell_length_b 4.993
_cell_length_c 9.194
_cell_angle_alpha 90.00
_cell_angle_beta 90.00
_cell_angle_gamma 90.00
loop_
_atom_site_label
_atom_site_type_symbol
_atom_site_fract_x
_atom_site_fract_y
_atom_site_fract_z
La1 La 0.000 0.000 0.000
Dy1 Dy 0.500 0.500 0.500
Y1 Y 0.000 0.000 0.500
Y2 Y 0.500 0.500 0.000
Sc1 Sc 0.000 0.500 0.254
# DOS(E_F) (states/eV/cell): 14.37
# M_tot (μB/f.u.): 0.0
# Energy of formation (eV per atom): 0.064



# ZrTlCrP2 (GGA-PBE, relaxed)
data_ZrTlCrP2
_chemical_formula_sum 'Zr1 Tl1 Cr1 P2'
_space_group_name_H-M_alt 'P 4/m m m'
_space_group_IT_number 123
_space_group_name_Hall '-P 4 2'
_cell_length_a 4.416
_cell_length_b 4.416
_cell_length_c 5.118
_cell_angle_alpha 90.00
_cell_angle_beta 90.00
_cell_angle_gamma 90.00
loop_
_atom_site_label
_atom_site_type_symbol
_atom_site_fract_x
_atom_site_fract_y
_atom_site_fract_z
Zr1 Zr 0.000 0.000 0.000
Tl1 Tl 0.500 0.500 0.000
Cr1 Cr 0.000 0.000 0.500
P1 P 0.000 0.500 0.500
# DOS(E_F) (states/eV/cell): 5.91
# M_tot (μB/f.u.): 0.1
# Energy of formation (eV per atom): 0.213



# Pr2Ga4Ir3Au (GGA-PBE, relaxed)
data_Pr2Ga4Ir3Au
_chemical_formula_sum 'Pr2 Ga4 Ir3 Au1'
_space_group_name_H-M_alt 'P -4 m 2'
_space_group_IT_number 115
_cell_length_a 4.258
_cell_length_b 4.258
_cell_length_c 10.710
_cell_angle_alpha 90.00
_cell_angle_beta 90.00
_cell_angle_gamma 90.00
loop_
_space_group_symop_operation_xyz
'x,y,z'
'y,-x,-z'
'-x,-y,z'
'-y,x,-z'
'-x,y,z'
'-y,-x,-z'
'x,-y,z'
'y,x,-z'
loop_
_atom_site_label
_atom_site_type_symbol
_atom_site_fract_x
_atom_site_fract_y
_atom_site_fract_z
Pr1 Pr 0.000 0.500 0.245
Ga1 Ga 0.000 0.000 0.000
Ga2 Ga 0.000 0.500 0.636
Ga3 Ga 0.500 0.500 0.000
Ir1 Ir 0.000 0.500 0.869
Ir2 Ir 0.500 0.500 0.500
Au1 Au 0.000 0.000 0.500
# DOS(E_F) (states/eV/cell): 7.32
# M_tot (μB/f.u.): 0.0
# Energy of formation (eV per atom): -0.649



# AlSb4Pb (GGA-PBE, relaxed)
data_AlSb4Pb
_chemical_formula_sum 'Al4 Sb16 Pb4'
_space_group_name_H-M_alt 'F -4 3 m'
_space_group_IT_number 216
_space_group_name_Hall 'F -4 2 3'
_cell_length_a 8.912
_cell_length_b 8.912
_cell_length_c 8.912
_cell_angle_alpha 90.00
_cell_angle_beta 90.00
_cell_angle_gamma 90.00
loop_
_atom_site_label
_atom_site_type_symbol
_atom_site_fract_x
_atom_site_fract_y
_atom_site_fract_z
Al1 Al 0.000 0.000 0.000
Sb1 Sb 0.125 0.125 0.375
Pb1 Pb 0.250 0.250 0.750
# DOS(E_F) (states/eV/cell): 10.04
# M_tot (μB/f.u.): 0.0
# Raw formation energy (eV/atom): 0.334



# Ca3BiC4O12 (GGA-PBE, relaxed)
data_Ca3BiC4O12
_chemical_formula_sum 'Ca9 Bi3 C12 O36'
_space_group_name_H-M_alt 'R 3 2'
_space_group_IT_number 155
_space_group_name_Hall 'R 3 2"'
_cell_length_a 10.2447
_cell_length_b 10.2447
_cell_length_c 8.9943
_cell_angle_alpha 90.00
_cell_angle_beta 90.00
_cell_angle_gamma 120.00
loop_
_atom_site_label
_atom_site_type_symbol
_atom_site_fract_x
_atom_site_fract_y
_atom_site_fract_z
Ca1 Ca 0.0000 0.5320 0.0000
Bi1 Bi 0.0000 0.0000 0.0000
C1 C 0.0000 0.0000 0.5000
C2 C 0.0000 0.4714 0.5000
O1 O 0.0000 0.5975 0.5000
O2 O 0.0000 0.8732 0.5000
O3 O 0.0112 0.2069 0.8205
# DOS(E_F) (states/eV/cell): 14.99
# M_tot (μB/f.u.): 1.0
# Raw formation energy (eV/atom): -1.921



# Be2ReP (GGA-PBE, relaxed)
data_Be2ReP
_chemical_formula_sum 'Be4 Re2 P2'
_space_group_name_H-M_alt 'I -4 m 2'
_space_group_IT_number 119
_space_group_name_Hall 'I -4 -2'
_cell_length_a 3.338
_cell_length_b 3.338
_cell_length_c 7.738
_cell_angle_alpha 90.00
_cell_angle_beta 90.00
_cell_angle_gamma 90.00
loop_
_atom_site_label
_atom_site_type_symbol
_atom_site_fract_x
_atom_site_fract_y
_atom_site_fract_z
Be1 Be 0.000 0.000 0.000
Be2 Be 0.000 0.500 0.250
Re1 Re 0.000 0.000 0.500
P1 P 0.000 0.500 0.750
# DOS(E_F) (states/eV/cell): 4.07
# M_tot (μB/f.u.): 0.0
# Energy of formation (eV per atom): -0.007
# Relative energy among the computed polymorphs (meV/atom): 143



# Sb3HI (GGA-PBE, relaxed)
data_Sb3HI
_chemical_formula_sum 'Sb3 H1 I1'
_space_group_name_H-M_alt 'P m -3 m'
_space_group_IT_number 221
_space_group_name_Hall '-P 4 2 3'
_cell_length_a 5.889
_cell_length_b 5.889
_cell_length_c 5.889
_cell_angle_alpha 90.00
_cell_angle_beta 90.00
_cell_angle_gamma 90.00
loop_
_atom_site_label
_atom_site_type_symbol
_atom_site_fract_x
_atom_site_fract_y
_atom_site_fract_z
Sb1 Sb 0.000 0.000 0.500
H1 H 0.500 0.500 0.500
I1 I 0.000 0.000 0.000
# DOS(E_F) (states/eV/cell): 6.83
# M_tot (μB/f.u.): 0.2
# Relative energy among the computed polymorphs (meV/atom): 919



# Gd2Er4N (GGA-PBE, relaxed)
data_Gd2Er4N
_chemical_formula_sum 'Gd4 Er8 N2'
_space_group_name_H-M_alt 'I 4/m m m'
_space_group_IT_number 139
_space_group_name_Hall '-I 4 2'
_cell_length_a 4.729
_cell_length_b 4.729
_cell_length_c 17.653
_cell_angle_alpha 90.00
_cell_angle_beta 90.00
_cell_angle_gamma 90.00
loop_
_atom_site_label
_atom_site_type_symbol
_atom_site_fract_x
_atom_site_fract_y
_atom_site_fract_z
Gd1 Gd 0.000 0.000 0.172
Er1 Er 0.000 0.000 0.369
Er2 Er 0.000 0.500 0.000
N1 N 0.000 0.000 0.500
# DOS(E_F) (states/eV/cell): 22.26
# M_tot (μB/f.u.): 15.2
# Raw formation energy (eV/atom): -0.284



# MgTlIn2 (GGA-PBE, relaxed)
data_MgTlIn2
_chemical_formula_sum 'Mg2 Tl2 In4'
_space_group_name_H-M_alt 'C m m m'
_space_group_IT_number 65
_space_group_name_Hall '-C 2 2'
_cell_length_a 6.625
_cell_length_b 9.352
_cell_length_c 3.383
_cell_angle_alpha 90.00
_cell_angle_beta 90.00
_cell_angle_gamma 90.00
loop_
_atom_site_label
_atom_site_type_symbol
_atom_site_fract_x
_atom_site_fract_y
_atom_site_fract_z
Mg1 Mg 0.000 0.000 0.000
Tl1 Tl 0.000 0.500 0.000
In1 In 0.250 0.250 0.500
# DOS(E_F) (states/eV/cell): 2.77
# M_tot (μB/f.u.): 0.0
# Energy of formation (eV per atom): -0.023



# Er2Co2Si (GGA-PBE, relaxed)
data_Er2Co2Si
_chemical_formula_sum 'Er8 Co8 Si4'
_space_group_name_H-M_alt 'C 1 2/c 1'
_space_group_IT_number 15
_cell_length_a 9.140
_cell_length_b 5.329
_cell_length_c 7.255
_cell_angle_alpha 90.00
_cell_angle_beta 102.92
_cell_angle_gamma 90.00
loop_
_space_group_symop_operation_xyz
'x,y,z'
'-x,-y,-z'
'-x,y,-z+1/2'
'x,-y,z+1/2'
'x+1/2,y+1/2,z'
'-x+1/2,-y+1/2,-z'
'-x+1/2,y+1/2,-z+1/2'
'x+1/2,-y+1/2,z+1/2'
loop_
_atom_site_label
_atom_site_type_symbol
_atom_site_fract_x
_atom_site_fract_y
_atom_site_fract_z
Er1 Er 0.149 0.138 0.148
Co1 Co 0.131 0.365 0.503
Si1 Si 0.000 0.380 0.750
# DOS(E_F) (states/eV/cell): 16.20
# M_tot (μB/f.u.): 0.0
# Raw formation energy (eV/atom): -0.553